Material: PaHgTe
Method: DFT, PBE
State: relaxed

Unit cell a=4.3607 b=4.3607 c=9.0125 alpha=104.00 beta=104.00 gamma=90.00
Last column: nearest neighbours and their distance in Å.
Element x y z (fractional)
Pa (0.3568, 0.3568, 0.7135)  5 Te 3.12-3.13, 4 Hg 3.26
Pa (0.6432, 0.6432, 0.2865)  5 Te 3.12-3.13, 4 Hg 3.26
Hg (0.0000, 0.5000, 0.0000)  4 Hg 3.08, 4 Pa 3.26
Hg (0.5000, 0.0000, 0.0000)  4 Hg 3.08, 4 Pa 3.26
Te (0.1718, 0.1718, 0.3437)  5 Pa 3.12-3.13
Te (0.8282, 0.8282, 0.6563)  5 Pa 3.12-3.13

***

Material: Hf2MgZn
Method: DFT, PBE
State: relaxed

Unit cell a=4.8853 b=4.8853 c=4.8775 alpha=59.95 beta=59.95 gamma=60.00
Last column: nearest neighbours and their distance in Å.
Element x y z (fractional)
Hf (0.9997, 0.9997, 0.0008)  4 Zn 2.98-2.99, 4 Hf 2.99
Hf (0.2502, 0.2502, 0.2495)  4 Mg 2.99, 4 Hf 2.99
Mg (0.5003, 0.5003, 0.4990)  4 Zn 2.98-2.99, 4 Hf 2.99
Zn (0.7498, 0.7498, 0.7507)  4 Mg 2.98-2.99, 4 Hf 2.98-2.99

Values from the calculation:
- Calculated formation energy: 0.3193 eV/atom

***

Material: Th7Co2Au2
Method: DFT, PBE
State: relaxed

Unit cell a=6.8230 b=6.8845 c=6.8230 alpha=90.00 beta=109.62 gamma=90.00
Last column: nearest neighbours and their distance in Å.
Element x y z (fractional)
Th (0.9998, 0.2588, 0.5003)  2 Co 2.66
Th (0.5003, 0.7412, 0.9998)  2 Co 2.66
Th (0.0002, 0.7412, 0.4997)  2 Co 2.66
Th (0.4997, 0.2588, 0.0002)  2 Co 2.66
Th (0.0000, 0.0000, 0.0000)  2 Co 3.00
Th (0.5002, 0.7661, 0.4998)  2 Co 3.04, 2 Au 3.14, 1 Th 3.22
Th (0.4998, 0.2339, 0.5002)  2 Co 3.04, 2 Au 3.14, 1 Th 3.22
Co (0.7313, 0.0000, 0.2687)  4 Th 2.66
Co (0.2687, 0.0000, 0.7313)  4 Th 2.66
Au (0.8247, 0.5000, 0.8247)  1 Au 2.76
Au (0.1753, 0.5000, 0.1753)  1 Au 2.76

Values from the calculation:
- Calculated formation energy: -0.1520 eV/atom

***

Material: Sc2AlFe
Method: DFT, PBE
State: relaxed

Unit cell a=7.4258 b=7.4258 c=5.8992 alpha=51.00 beta=51.00 gamma=90.00
Last column: nearest neighbours and their distance in Å.
Element x y z (fractional)
Sc (0.6859, 0.1250, 0.2500)  2 Fe 2.42
Sc (0.0641, 0.6250, 0.2500)  2 Fe 2.42
Sc (0.3750, 0.3141, 0.7500)  2 Fe 2.42
Sc (0.8750, 0.9359, 0.7500)  2 Fe 2.42
Fe (0.0000, 0.0000, 0.0000)  4 Sc 2.42, 2 Al 2.69
Fe (0.7500, 0.2500, 0.5000)  4 Sc 2.42, 2 Al 2.69
Al (0.5000, 0.5000, 0.0000)  2 Fe 2.69
Al (0.2500, 0.7500, 0.5000)  2 Fe 2.69

Values from the calculation:
- Calculated formation energy: 0.1629 eV/atom

***

Material: Sm3Er6In
Method: DFT, PBE
State: relaxed

Unit cell a=3.5353 b=12.8784 c=15.9477 alpha=121.24 beta=90.00 gamma=90.00
Last column: nearest neighbours and their distance in Å.
Element x y z (fractional)
Sm (0.7500, 0.3866, 0.8959)  7 Er 3.28-3.59, 1 In 3.30, 4 Sm 3.54-3.55
Sm (0.2500, 0.6134, 0.1041)  7 Er 3.28-3.59, 1 In 3.30, 4 Sm 3.54-3.55
Sm (0.7500, 0.6222, 0.4996)  7 Er 3.35-3.68, 4 Sm 3.54-3.61
Sm (0.2500, 0.3778, 0.5004)  7 Er 3.35-3.68, 4 Sm 3.54-3.61
Sm (0.7500, 0.1256, 0.0922)  4 Er 3.24-3.58, 4 Sm 3.52-3.54
Sm (0.2500, 0.8744, 0.9078)  4 Er 3.24-3.58, 4 Sm 3.52-3.54
Er (0.7500, 0.5940, 0.7105)  7 Er 3.38-3.70, 5 Sm 3.53-3.78
Er (0.2500, 0.4060, 0.2895)  7 Er 3.38-3.70, 5 Sm 3.53-3.78
Er (0.7500, 0.8581, 0.1073)  6 Er 3.50-3.60, 2 In 3.50, 5 Sm 3.58-3.74
Er (0.2500, 0.1419, 0.8927)  6 Er 3.50-3.60, 2 In 3.50, 5 Sm 3.58-3.74
Er (0.7500, 0.3817, 0.0994)  4 Sm 3.24-3.43, 7 Er 3.38-3.60
Er (0.2500, 0.6183, 0.9006)  4 Sm 3.24-3.43, 7 Er 3.38-3.60
Er (0.7500, 0.6657, 0.3101)  2 In 3.34, 3 Sm 3.35-3.47, 7 Er 3.45-3.64
Er (0.2500, 0.3343, 0.6899)  2 In 3.34, 3 Sm 3.35-3.47, 7 Er 3.45-3.64
Er (0.7500, 0.1140, 0.4775)  3 In 3.31-3.42, 6 Er 3.54-3.59, 2 Sm 3.68
Er (0.2500, 0.8860, 0.5225)  3 In 3.31-3.42, 6 Er 3.54-3.59, 2 Sm 3.68
Er (0.7500, 0.8857, 0.7180)  1 In 3.20, 3 Sm 3.37-3.57, 4 Er 3.50-3.54
Er (0.2500, 0.1143, 0.2820)  1 In 3.20, 3 Sm 3.37-3.57, 4 Er 3.50-3.54
In (0.7500, 0.1169, 0.6934)  8 Er 3.20-3.50, 1 Sm 3.30, 2 In 3.54
In (0.2500, 0.8831, 0.3066)  8 Er 3.20-3.50, 1 Sm 3.30, 2 In 3.54

Values from the calculation:
- Calculated formation energy: -0.0279 eV/atom

***

Material: Sr2CaMg12Cd3
Method: DFT, PBE
State: relaxed

Unit cell a=9.6775 b=9.6775 c=9.6775 alpha=54.94 beta=54.94 gamma=54.94
Last column: nearest neighbours and their distance in Å.
Element x y z (fractional)
Sr (0.5830, 0.5830, 0.5830)  6 Mg 3.33-3.51
Sr (0.4170, 0.4170, 0.4170)  6 Mg 3.33-3.51
Ca (0.0000, 0.0000, 0.0000)  12 Mg 3.11-3.37
Mg (0.2219, 0.2219, 0.8613)  2 Cd 2.80, 1 Ca 3.11
Mg (0.8264, 0.8264, 0.4566)  4 Mg 3.25-3.30, 1 Cd 3.27, 1 Ca 3.37, 1 Sr 3.51
Mg (0.4566, 0.8264, 0.8264)  4 Mg 3.25-3.30, 1 Cd 3.27, 1 Ca 3.37, 1 Sr 3.51
Mg (0.8613, 0.2219, 0.2219)  2 Cd 2.80, 1 Ca 3.11
Mg (0.8264, 0.4566, 0.8264)  4 Mg 3.25-3.30, 1 Cd 3.27, 1 Ca 3.37, 1 Sr 3.51
Mg (0.2219, 0.8613, 0.2219)  2 Cd 2.80, 1 Ca 3.11
Mg (0.7781, 0.7781, 0.1387)  2 Cd 2.80, 1 Ca 3.11
Mg (0.1736, 0.1736, 0.5434)  4 Mg 3.25-3.30, 1 Cd 3.27, 1 Ca 3.37, 1 Sr 3.51
Mg (0.5434, 0.1736, 0.1736)  4 Mg 3.25-3.30, 1 Cd 3.27, 1 Ca 3.37, 1 Sr 3.51
Mg (0.1387, 0.7781, 0.7781)  2 Cd 2.80, 1 Ca 3.11
Mg (0.1736, 0.5434, 0.1736)  4 Mg 3.25-3.30, 1 Cd 3.27, 1 Ca 3.37, 1 Sr 3.51
Mg (0.7781, 0.1387, 0.7781)  2 Cd 2.80, 1 Ca 3.11
Cd (0.5000, 0.0000, 0.0000)  4 Mg 2.80
Cd (0.0000, 0.5000, 0.0000)  4 Mg 2.80
Cd (0.0000, 0.0000, 0.5000)  4 Mg 2.80

Values from the calculation:
- Calculated formation energy: 0.2059 eV/atom

***

Material: Tm2InRh3
Method: DFT, PBE
State: relaxed

Unit cell a=4.5945 b=5.4213 c=5.9890 alpha=116.91 beta=112.56 gamma=90.00
Last column: nearest neighbours and their distance in Å.
Element x y z (fractional)
Tm (0.6774, 0.1774, 0.3548)  6 Rh 2.72-2.86
Tm (0.3226, 0.8226, 0.6452)  6 Rh 2.72-2.86
In (0.0000, 0.5000, 0.0000)  6 Rh 2.71
Rh (0.3500, 0.3500, 0.7000)  2 In 2.71, 4 Tm 2.72-2.84, 1 Rh 2.89
Rh (0.0000, 0.0000, 0.0000)  2 In 2.71, 4 Tm 2.86
Rh (0.6500, 0.6500, 0.3000)  2 In 2.71, 4 Tm 2.72-2.84, 1 Rh 2.89

Values from the calculation:
- Calculated formation energy: -0.4895 eV/atom

***

Material: Zr4CuTc2
Method: DFT, PBE
State: relaxed

Unit cell a=4.6250 b=4.6250 c=7.9254 alpha=73.04 beta=73.04 gamma=60.00
Last column: nearest neighbours and their distance in Å.
Element x y z (fractional)
Cu (0.0000, 0.0000, 0.0000)  8 Zr 2.86-2.88
Zr (0.8715, 0.8715, 0.3855)  4 Tc 2.78-2.88, 1 Cu 2.88
Zr (0.1285, 0.1285, 0.6145)  4 Tc 2.78-2.88, 1 Cu 2.88
Zr (0.6205, 0.6205, 0.1384)  4 Tc 2.78-2.84, 3 Cu 2.86
Zr (0.3795, 0.3795, 0.8616)  4 Tc 2.78-2.84, 3 Cu 2.86
Tc (0.7472, 0.7472, 0.7585)  8 Zr 2.78-2.88
Tc (0.2528, 0.2528, 0.2415)  8 Zr 2.78-2.88

Values from the calculation:
- Calculated formation energy: -0.1532 eV/atom

***

Material: BaCrP3
Method: DFT, PBE
State: relaxed

Unit cell a=5.4340 b=5.4340 c=5.4340 alpha=90.00 beta=90.00 gamma=90.00
Last column: nearest neighbours and their distance in Å.
Element x y z (fractional)
Cr (0.5000, 0.5000, 0.5000)  12 P 3.84
Ba (0.0000, 0.0000, 0.0000)  6 P 2.72
P (0.0000, 0.5000, 0.0000)  2 Ba 2.72
P (0.0000, 0.0000, 0.5000)  2 Ba 2.72
P (0.5000, 0.0000, 0.0000)  2 Ba 2.72

Values from the calculation:
- Calculated formation energy: 1.7412 eV/atom

***

Material: Y2C
Method: DFT, PBE
State: relaxed

Unit cell a=4.3521 b=4.3521 c=4.3521 alpha=60.00 beta=60.00 gamma=60.00
Last column: nearest neighbours and their distance in Å.
Element x y z (fractional)
Y (0.2500, 0.2500, 0.2500)  4 C 2.67
Y (0.7500, 0.7500, 0.7500)  4 C 2.67
C (0.0000, 0.0000, 0.0000)  8 Y 2.67

Values from the calculation:
- Calculated formation energy: 0.1176 eV/atom

***

Material: MnIn2
Method: DFT, PBE
State: relaxed

Unit cell a=5.3836 b=5.3836 c=8.6966 alpha=66.21 beta=66.21 gamma=33.61
Last column: nearest neighbours and their distance in Å.
Element x y z (fractional)
Mn (0.8061, 0.8061, 0.0877)  2 Mn 2.75, 7 In 2.85-2.93
Mn (0.1939, 0.1939, 0.9123)  2 Mn 2.75, 7 In 2.85-2.93
In (0.5003, 0.5003, 0.8129)  5 Mn 2.85-2.93, 3 In 3.11-3.18
In (0.1614, 0.1614, 0.3977)  2 Mn 2.92, 4 In 3.04-3.18
In (0.8386, 0.8386, 0.6023)  2 Mn 2.92, 4 In 3.04-3.18
In (0.4997, 0.4997, 0.1871)  5 Mn 2.85-2.93, 3 In 3.11-3.18

Values from the calculation:
- Calculated formation energy: 0.2118 eV/atom

***

Material: LiInSn
Method: DFT, PBE
State: relaxed

Unit cell a=4.7694 b=4.7694 c=7.7918 alpha=90.00 beta=90.00 gamma=120.00
Last column: nearest neighbours and their distance in Å.
Element x y z (fractional)
Li (0.0000, 0.0000, 0.7638)  3 Sn 3.05, 3 In 3.21
Li (0.0000, 0.0000, 0.2638)  3 Sn 3.05, 3 In 3.21
Sn (0.3333, 0.6667, 0.4331)  4 In 2.91-2.96, 3 Li 3.05
Sn (0.6667, 0.3333, 0.9331)  4 In 2.91-2.96, 3 Li 3.05
In (0.3333, 0.6667, 0.0531)  4 Sn 2.91-2.96, 3 Li 3.21
In (0.6667, 0.3333, 0.5531)  4 Sn 2.91-2.96, 3 Li 3.21

Values from the calculation:
- Calculated formation energy: -0.1860 eV/atom

***

Uncorrected energy / eV per cell: -28.4; -21.5; -74.4; -48.4; -89.1; -23.5; -36.7; -60.1; -19.1; -21.8; -28.0; -18.4
Magnetic moment / μB per cell: 0.75; 1.82; 0.00; 0.00; 0.00; 0.00; 0.00; 0.00; 3.44; 0.00; 6.63; 0.00